# 1
K2HoCoO4: optimized geometry, PBE+U.

a b c (Å): 12.793 11.494 6.907
angles (deg): 84.16 63.36 32.48
Fractional positions:
1 K 0.073 0.073 0.677
2 K 0.323 0.323 0.927
3 K 0.677 0.677 0.073
4 K 0.927 0.927 0.323
5 Ho 0.125 0.125 0.125
6 Ho 0.875 0.875 0.875
7 Co 0.375 0.375 0.375
8 Co 0.625 0.625 0.625
9 O 0.022 0.658 0.539
10 O 0.281 0.539 0.658
11 O 0.342 0.978 0.719
12 O 0.461 0.719 0.978
13 O 0.539 0.281 0.022
14 O 0.658 0.022 0.281
15 O 0.719 0.461 0.342
16 O 0.978 0.342 0.461

Output
Volume   24.90 A^3/atom
Symmetry   No. 70
Total DFT energy (no corrections)   -5.59 eV per atom
Total magnetic moment   3.97 μB per formula unit

=====

# 2
K3Ho3CoO8: optimized geometry, PBE+U.

a b c (Å): 7.355 7.355 7.355
angles (deg): 53.91 53.91 53.91
Fractional positions:
1 K 0.000 0.500 0.500
2 K 0.500 0.000 0.500
3 K 0.500 0.500 0.000
4 Ho 0.000 0.000 0.500
5 Ho 0.000 0.500 0.000
6 Ho 0.500 0.000 0.000
7 Co 0.500 0.500 0.500
8 O 0.228 0.228 0.228
9 O 0.259 0.705 0.705
10 O 0.295 0.295 0.741
11 O 0.295 0.741 0.295
12 O 0.705 0.259 0.705
13 O 0.705 0.705 0.259
14 O 0.741 0.295 0.295
15 O 0.772 0.772 0.772

Output
Volume   16.09 A^3/atom
Symmetry   No. 166
Total DFT energy (no corrections)   -6.44 eV per atom
Total magnetic moment   1.12 μB per formula unit

=====

# 3
K3Ho2CoO6: optimized geometry, PBE+U.

a b c (Å): 5.773 5.773 6.516
angles (deg): 98.70 98.70 119.29
Fractional positions:
1 K 0.000 0.000 0.000
2 K 0.337 0.663 0.000
3 K 0.663 0.337 0.000
4 Ho 0.166 0.834 0.500
5 Ho 0.834 0.166 0.500
6 Co 0.500 0.500 0.500
7 O 0.130 0.438 0.320
8 O 0.237 0.237 0.688
9 O 0.438 0.130 0.320
10 O 0.562 0.870 0.680
11 O 0.763 0.763 0.312
12 O 0.870 0.562 0.680

Output
Volume   15.06 A^3/atom
Symmetry   No. 12
Total DFT energy (no corrections)   -6.10 eV per atom
Total magnetic moment   3.92 μB per formula unit